--- w ---
A relaxed FeBi3Se crystal, computed with PBE-GGA.

## Properties
M_tot (μB/atom): 0.2804

```
FeBi3Se
1.0
5.1349 0.0000 0.0000
0.0000 5.1349 0.0000
0.0000 0.0000 5.1349
Fe Bi Se
1 3 1
Direct
0.0000 0.0000 0.0000 Fe
0.0000 0.0000 0.5000 Bi
0.0000 0.5000 0.0000 Bi
0.5000 0.0000 0.0000 Bi
0.5000 0.5000 0.5000 Se
```

=====

--- x ---
A relaxed FeBi3Se crystal, computed with PBE-GGA.

## Properties
M_tot (μB/atom): 0.6185

```
FeBi3Se
1.0
5.5255 0.0000 0.0000
0.0000 5.5255 0.0000
0.0000 0.0000 5.5255
Fe Bi Se
1 3 1
Direct
0.0000 0.0000 0.0000 Fe
0.0000 0.5000 0.5000 Bi
0.5000 0.0000 0.5000 Bi
0.5000 0.5000 0.0000 Bi
0.5000 0.5000 0.5000 Se
```

=====

Which of them is least stable? Easy: x.

=====

--- w ---
A relaxed Fe3SiBi crystal, computed with PBE-GGA.

## Properties
M_tot (μB/atom): 1.5025

```
Fe3SiBi
1.0
4.8624 0.0000 0.0000
0.0000 4.8624 0.0000
0.0000 0.0000 4.8624
Fe Si Bi
3 1 1
Direct
0.0000 0.0000 0.5000 Fe
0.0000 0.5000 0.0000 Fe
0.5000 0.0000 0.0000 Fe
0.5000 0.5000 0.5000 Si
0.0000 0.0000 0.0000 Bi
```

=====

--- x ---
A relaxed Fe3SiBi crystal, computed with PBE-GGA.

## Properties
M_tot (μB/atom): 0.0000

```
Fe3SiBi
1.0
4.2570 0.0000 0.0000
0.0000 4.2570 0.0000
0.0000 0.0000 4.2570
Fe Si Bi
3 1 1
Direct
0.0000 0.0000 0.5000 Fe
0.0000 0.5000 0.0000 Fe
0.5000 0.0000 0.0000 Fe
0.0000 0.0000 0.0000 Si
0.5000 0.5000 0.5000 Bi
```

=====

Which of them is least stable? Easy: w.

=====

--- w ---
A relaxed Fe2SiBi2 crystal, computed with PBE-GGA.

## Properties
M_tot (μB/atom): 1.0643

```
Fe2SiBi2
1.0
8.1586 0.0000 0.0000
0.0000 8.1586 0.0000
0.0000 0.0000 3.1997
Fe Si Bi
4 2 4
Direct
0.0994 0.4006 0.0000 Fe
0.4006 0.9006 0.0000 Fe
0.5994 0.0994 0.0000 Fe
0.9006 0.5994 0.0000 Fe
0.0000 0.0000 0.5000 Si
0.5000 0.5000 0.5000 Si
0.1839 0.6839 0.5000 Bi
0.3161 0.1839 0.5000 Bi
0.6839 0.8161 0.5000 Bi
0.8161 0.3161 0.5000 Bi
```

=====

--- x ---
A relaxed Fe2SiBi2 crystal, computed with PBE-GGA.

## Properties
M_tot (μB/atom): 0.9661

```
Fe2SiBi2
1.0
-1.7516 1.7516 8.4120
1.7516 -1.7516 8.4120
1.7516 1.7516 -8.4120
Fe Si Bi
2 1 2
Direct
0.2500 0.7500 0.5000 Fe
0.7500 0.2500 0.5000 Fe
0.0000 0.0000 0.0000 Si
0.3830 0.3830 0.0000 Bi
0.6170 0.6170 0.0000 Bi
```

=====

Which of them is least stable? Easy: w.